(1)
Entry from Alexandria via LeMat-Bulk: an optimized crystal structure of KIn2TcCl (PBE).

The structure in CIF format:
```
data_KIn2TcCl
_cell_length_a 5.2757
_cell_length_b 5.2757
_cell_length_c 4.9242
_cell_angle_alpha 90.00
_cell_angle_beta 90.00
_cell_angle_gamma 90.00
_space_group_name_H-M_alt 'P 4/m m m'
_space_group_IT_number 123
_space_group_name_Hall '-P 4 2'
loop_
_atom_site_label
_atom_site_fract_x
_atom_site_fract_y
_atom_site_fract_z
K1 0.0000 0.0000 0.0000
In1 0.0000 0.5000 0.5000
Tc1 0.5000 0.5000 0.5000
Cl1 0.5000 0.5000 0.0000
```

***

(2)
Entry from Alexandria via LeMat-Bulk: an optimized crystal structure of K6InTe4Cl (PBE).

The structure in CIF format:
```
data_K6InTe4Cl
_cell_length_a 11.4834
_cell_length_b 11.4834
_cell_length_c 8.1648
_cell_angle_alpha 90.00
_cell_angle_beta 90.00
_cell_angle_gamma 120.00
_space_group_name_H-M_alt 'P 63 m c'
_space_group_IT_number 186
_space_group_name_Hall 'P 6c -2c'
loop_
_atom_site_label
_atom_site_fract_x
_atom_site_fract_y
_atom_site_fract_z
K1 0.0456 0.5228 0.0000
K2 0.1233 0.2465 0.6894
In1 0.3333 0.6667 0.3878
Te1 0.1987 0.3974 0.2801
Te2 0.3333 0.6667 0.7343
Cl1 0.0000 0.0000 0.4485
```

***

(3)
Entry from Alexandria via LeMat-Bulk: an optimized crystal structure of KThInCl6 (PBE).

The structure in CIF format:
```
data_KThInCl6
_cell_length_a 7.7942
_cell_length_b 7.7942
_cell_length_c 12.7942
_cell_angle_alpha 90.00
_cell_angle_beta 90.00
_cell_angle_gamma 120.00
_space_group_name_H-M_alt 'P -3 1 c'
_space_group_IT_number 163
_space_group_name_Hall '-P 3 2c'
loop_
_atom_site_label
_atom_site_fract_x
_atom_site_fract_y
_atom_site_fract_z
K1 0.3333 0.6667 0.2500
Th1 0.3333 0.6667 0.7500
In1 0.0000 0.0000 0.0000
Cl1 0.0463 0.3813 0.6310
```

***

Number 1: E_form (uncorrected) 0.037 eV/atom. Number 2: E_form (uncorrected) -1.123 eV/atom. Number 3: E_form (uncorrected) -1.858 eV/atom.